Record 1
This record from Alexandria describes a geometry-optimized Ho2Er2Hg7 structure. The functional is PBE.

Output
SG	Cmmm, No. 65
uncorrected energy	-21.7	eV/cell
E_form	-122	meV/atom
total moment	0.000	μB per cell
theoretical density	10.92	Mg/m³

Lattice parameters (Å, degrees): 6.6637 7.8156 6.6637 90.02 115.02 89.98
Closest atoms and distances in Å follow each position.
Positions (direct):
Er 0.7334 0.0000 0.2666  7 Hg 3.00-3.03
Er 0.2666 0.0000 0.7334  7 Hg 3.00-3.03
Hg 0.0002 0.6873 0.4997  1 Hg 2.93, 2 Er 3.03, 2 Ho 3.17
Hg 0.4998 0.1922 0.5002  1 Hg 3.01, 2 Ho 3.01, 2 Er 3.02
Hg 0.0000 0.0000 0.0000  2 Er 3.00
Hg 0.4997 0.3127 0.0002  1 Hg 2.93, 2 Er 3.03, 2 Ho 3.17
Hg 0.5003 0.6873 0.9998  1 Hg 2.93, 2 Er 3.03, 2 Ho 3.17
Hg 0.9998 0.3127 0.5003  1 Hg 2.93, 2 Er 3.03, 2 Ho 3.17
Hg 0.5002 0.8078 0.4998  1 Hg 3.01, 2 Ho 3.01, 2 Er 3.02
Ho 0.2474 0.5000 0.2474  6 Hg 3.01-3.17
Ho 0.7526 0.5000 0.7526  6 Hg 3.01-3.17

---

Record 2
This record from Alexandria describes a geometry-optimized Ho5ErHg3 structure. The functional is PBE.

Output
SG	P6_3/mcm, No. 193
uncorrected energy	-62.4	eV/cell
E_form	-316	meV/atom
total moment	0.000	μB per cell
theoretical density	10.90	Mg/m³

Lattice parameters (Å, degrees): 6.8708 9.0352 9.0347 120.00 90.00 90.00
Closest atoms and distances in Å follow each position.
Positions (direct):
Er 0.0000 0.0000 0.0000  2 Er 3.44, 6 Ho 3.46, 6 Hg 3.47
Er 0.5000 0.0000 0.0000  2 Er 3.44, 6 Ho 3.46, 6 Hg 3.47
Ho 0.2500 0.6672 0.0000  3 Hg 3.01
Ho 0.0000 0.6667 0.3333  8 Ho 3.44-3.47, 6 Hg 3.47
Ho 0.2500 0.0000 0.6672  3 Hg 3.01
Ho 0.7500 0.0000 0.3328  3 Hg 3.01
Ho 0.5000 0.6667 0.3333  8 Ho 3.44-3.47, 6 Hg 3.47
Ho 0.0000 0.3333 0.6667  8 Ho 3.44-3.47, 6 Hg 3.47
Ho 0.7500 0.6672 0.6672  3 Hg 3.01
Ho 0.7500 0.3328 0.0000  3 Hg 3.01
Ho 0.2500 0.3328 0.3328  3 Hg 3.01
Ho 0.5000 0.3333 0.6667  8 Ho 3.44-3.47, 6 Hg 3.47
Hg 0.7500 0.3337 0.3337  3 Ho 3.01
Hg 0.7500 0.6663 0.0000  3 Ho 3.01
Hg 0.7500 0.0000 0.6663  3 Ho 3.01
Hg 0.2500 0.6663 0.6663  3 Ho 3.01
Hg 0.2500 0.3337 0.0000  3 Ho 3.01
Hg 0.2500 0.0000 0.3337  3 Ho 3.01

---

Record 3
This record from Alexandria describes a geometry-optimized Ho4Er5Hg structure. The functional is PBE.

Output
SG	P4/mmm, No. 123
uncorrected energy	-42.2	eV/cell
E_form	-77	meV/atom
total moment	0.000	μB per cell
theoretical density	9.49	Mg/m³

Lattice parameters (Å, degrees): 3.5256 3.5256 23.8957 90.00 90.00 90.00
Closest atoms and distances in Å follow each position.
Positions (direct):
Ho 0.0000 0.0000 0.6037  8 Er 3.51-3.52, 4 Ho 3.53
Ho 0.0000 0.0000 0.3963  8 Er 3.51-3.52, 4 Ho 3.53
Ho 0.0000 0.0000 0.8112  8 Er 3.51-3.53, 4 Ho 3.53
Ho 0.0000 0.0000 0.1888  8 Er 3.51-3.53, 4 Ho 3.53
Er 0.5000 0.5000 0.0843  4 Hg 3.20, 4 Er 3.53, 4 Ho 3.53
Er 0.5000 0.5000 0.2922  8 Ho 3.51-3.52, 4 Er 3.53
Er 0.5000 0.5000 0.7078  8 Ho 3.51-3.52, 4 Er 3.53
Er 0.5000 0.5000 0.5000  8 Ho 3.51, 4 Er 3.53
Er 0.5000 0.5000 0.9157  4 Hg 3.20, 4 Er 3.53, 4 Ho 3.53
Hg 0.0000 0.0000 0.0000  8 Er 3.20, 4 Hg 3.53

---

Record 4
This record from Alexandria describes a geometry-optimized HoEr4Hg2 structure. The functional is PBE.

Output
SG	R-3m, No. 166
uncorrected energy	-23.2	eV/cell
E_form	31	meV/atom
total moment	0.001	μB per cell
theoretical density	9.37	Mg/m³

Lattice parameters (Å, degrees): 5.0208 5.0208 10.4358 76.08 76.08 60.00
Closest atoms and distances in Å follow each position.
Positions (direct):
Er 0.8935 0.8935 0.3196  3 Hg 3.15, 3 Ho 3.42
Er 0.1065 0.1065 0.6804  3 Hg 3.15, 3 Ho 3.42
Er 0.7031 0.7031 0.8907  4 Hg 3.03-3.08
Er 0.2969 0.2969 0.1093  4 Hg 3.03-3.08
Hg 0.6008 0.6008 0.1975  7 Er 3.03-3.15, 1 Ho 3.03
Hg 0.3992 0.3992 0.8025  7 Er 3.03-3.15, 1 Ho 3.03
Ho 0.5000 0.5000 0.5000  2 Hg 3.03